HfZr5Tl4 | GGA-PBE | relaxed

Summary:
Its density is 10.47 g cm⁻³. As for the formation energy: -65 kJ/mol of formula units.

a b c (Å): 3.2017 3.2017 22.4682
angles (deg): 90.00 90.00 90.00
Closest atoms and distances in Å follow each position.
Fractional coordinates of all 10 atoms:
Hf: 0.0000 0.0000 0.0000  8 Zr 3.17, 4 Hf 3.20
Tl: 0.0000 0.0000 0.5991  8 Zr 3.17-3.18, 4 Tl 3.20
Zr: 0.5000 0.5000 0.3022  8 Tl 3.17-3.18, 4 Zr 3.20
Tl: 0.0000 0.0000 0.4009  8 Zr 3.17-3.18, 4 Tl 3.20
Zr: 0.5000 0.5000 0.6978  8 Tl 3.17-3.18, 4 Zr 3.20
Zr: 0.5000 0.5000 0.0990  4 Hf 3.17, 4 Zr 3.20, 4 Tl 3.25
Tl: 0.0000 0.0000 0.2026  8 Zr 3.18-3.25, 4 Tl 3.20
Tl: 0.0000 0.0000 0.7974  8 Zr 3.18-3.25, 4 Tl 3.20
Zr: 0.5000 0.5000 0.5000  8 Tl 3.18, 4 Zr 3.20
Zr: 0.5000 0.5000 0.9010  4 Hf 3.17, 4 Zr 3.20, 4 Tl 3.25